Entry 1:
First-principles (SCAN) data for Na2Si2Ag at its PBEsol-relaxed geometry, as listed in Alexandria.

a b c (Å): 6.397 6.397 4.851
angles (deg): 90.00 90.00 90.00
Space group P4/mbm (No. 127)
Symmetry-distinct sites (fractional):
Na (0.176, 0.324, 0.000) (multiplicity 4)
Si (0.129, 0.629, 0.500) (multiplicity 4)
Ag (0.000, 0.000, 0.500) (multiplicity 2)

Properties
- E: -11.927 eV/atom
- Formation energy (no corrections): 4 kJ per mole of atoms

---

Entry 2:
First-principles (SCAN) data for NaAg2Sn at its PBEsol-relaxed geometry, as listed in Alexandria.

a b c (Å): 6.761 6.761 6.761
angles (deg): 90.00 90.00 90.00
Space group Fm-3m (No. 225)
Symmetry-distinct sites (fractional):
Na (0.000, 0.000, 0.000) (multiplicity 4)
Ag (0.250, 0.250, 0.250) (multiplicity 8)
Sn (0.000, 0.000, 0.500) (multiplicity 4)

Properties
- E: -25.818 eV/atom
- DFT formation energy: -0.10 eV per atom